Material: CaNdEr2In4
Method: DFT, PBE-GGA
State: relaxed

Cell: 5.3573 5.3573 9.3409 Å, 73.34 73.34 60.00°
With the nearest neighbours (Å) after each atom.
Positions (direct):
Ca  0.5000  0.5000  0.5000  8 In 3.28-3.29
In  0.8745  0.8745  0.3765  4 Er 3.25-3.27, 3 Ca 3.28, 1 Nd 3.32
Nd  0.0000  0.0000  0.0000  8 In 3.29-3.32
Er  0.7516  0.7516  0.7452  8 In 3.25-3.36
In  0.3755  0.3755  0.8735  3 Nd 3.29, 1 Ca 3.29, 4 Er 3.29-3.36
In  0.6245  0.6245  0.1265  3 Nd 3.29, 1 Ca 3.29, 4 Er 3.29-3.36
In  0.1255  0.1255  0.6235  4 Er 3.25-3.27, 3 Ca 3.28, 1 Nd 3.32
Er  0.2484  0.2484  0.2548  8 In 3.25-3.36

energy relative to the elements = -0.451 eV per atom
E_tot = -30.460 eV/cell

Material: Nd4TlRh2
Method: DFT, PBE-GGA
State: relaxed

Cell: 4.2187 4.2187 13.8073 Å, 81.21 81.21 60.00°
With the nearest neighbours (Å) after each atom.
Positions (direct):
Nd  0.6083  0.6083  0.1752  3 Rh 2.88
Nd  0.3917  0.3917  0.8248  3 Rh 2.88
Nd  0.7979  0.7979  0.6064  3 Rh 2.83
Rh  0.9040  0.9040  0.2881  6 Nd 2.83-2.88
Rh  0.0960  0.0960  0.7119  6 Nd 2.83-2.88
Nd  0.2021  0.2021  0.3936  3 Rh 2.83
Tl  0.0000  0.0000  0.0000  6 Nd 3.41

energy relative to the elements = -0.480 eV per atom
E_tot = -39.498 eV/cell

Material: Th2Al3Zn4Ag
Method: DFT, PBE-GGA
State: relaxed

Cell: 4.2830 4.2830 10.7131 Å, 90.00 90.00 90.00°
With the nearest neighbours (Å) after each atom.
Positions (direct):
Al  0.0000  0.5000  0.1319  5 Zn 2.46-2.57
Zn  0.5000  0.5000  0.0000  4 Al 2.57
Ag  0.5000  0.5000  0.5000  4 Zn 2.61
Al  0.0000  0.0000  0.5000  4 Zn 2.61
Zn  0.0000  0.5000  0.3612  3 Al 2.46-2.61, 2 Ag 2.61
Th  0.0000  0.5000  0.7557  6 Al 3.26-3.48, 8 Zn 3.28-3.38, 2 Ag 3.48
Zn  0.0000  0.0000  0.0000  4 Al 2.57
Th  0.5000  0.0000  0.2443  6 Al 3.26-3.48, 8 Zn 3.28-3.38, 2 Ag 3.48
Al  0.5000  0.0000  0.8681  5 Zn 2.46-2.57
Zn  0.5000  0.0000  0.6388  3 Al 2.46-2.61, 2 Ag 2.61

energy relative to the elements = -0.328 eV per atom
E_tot = -37.293 eV/cell